1.
{"formula": "Ga6Cu5Ir", "functional": "PBE", "state": "relaxed", "lattice_angstrom": [[-3.384, 0.761, -3.449], [-4.342, -7.290, 0.067], [-4.779, -2.065, 2.941]], "species": ["Ga", "Cu", "Ga", "Ga", "Ga", "Cu", "Ga", "Cu", "Ga", "Cu", "Ir", "Cu"], "fractional_positions": [[0.748, 0.415, 0.666], [0.500, 0.828, 0.344], [0.245, 0.247, 0.000], [0.748, 0.081, 0.334], [0.252, 0.919, 0.666], [0.500, 0.172, 0.656], [0.252, 0.585, 0.334], [0.000, 0.662, 0.677], [0.755, 0.753, 0.000], [0.500, 0.500, 0.000], [0.000, 0.000, 0.000], [0.000, 0.338, 0.323]], "vol_a3_per_atom": 14.233, "total_magnetization_mub_per_cell": 0.00, "e_form_mev_per_atom": -70}


2.
{"formula": "SmHoErTm", "functional": "PBE", "state": "relaxed", "lattice_angstrom": [[-2.843, 1.224, 4.714], [-5.638, 0.115, -0.057], [-2.930, -4.024, 2.652]], "species": ["Tm", "Sm", "Er", "Ho"], "fractional_positions": [[0.000, 0.000, 0.000], [0.250, 0.250, 0.250], [0.500, 0.500, 0.500], [0.750, 0.750, 0.750]], "vol_a3_per_atom": 31.713, "total_magnetization_mub_per_cell": 0.00, "e_form_mev_per_atom": 128}


Which formula does entry 2 have? SmHoErTm


What did the second record say?
{"formula": "SmHoErTm", "functional": "PBE", "state": "relaxed", "lattice_angstrom": [[-2.843, 1.224, 4.714], [-5.638, 0.115, -0.057], [-2.930, -4.024, 2.652]], "species": ["Tm", "Sm", "Er", "Ho"], "fractional_positions": [[0.000, 0.000, 0.000], [0.250, 0.250, 0.250], [0.500, 0.500, 0.500], [0.750, 0.750, 0.750]], "vol_a3_per_atom": 31.713, "total_magnetization_mub_per_cell": 0.00, "e_form_mev_per_atom": 128}